## RbNiGePd2 (GGA-PBE)

Data for crystalline RbNiGePd2 at its relaxed geometry.

Properties
energy = -2.65 eV per atom
formation energy from the elements = 1.704 eV/atom
mass density = 5.80 Mg/m³

Cell lengths 5.1404, 5.1404, 4.6545 Å; angles 90.00, 90.00, 90.00 degrees
Element x y z (fractional)
Rb1 0.0000 0.0000 0.0000
Ni1 0.0000 0.0000 0.5000
Ge1 0.5000 0.5000 0.5000
Pd1 0.0000 0.5000 0.0000
Pd2 0.5000 0.0000 0.0000

=====

## DyAlN (GGA-PBE)

Data for crystalline DyAlN at its relaxed geometry.

Properties
energy = -6.16 eV per atom
E_form (uncorrected) = -173 kJ/mol of formula units
mass density = 6.21 Mg/m³

Cell lengths 7.7947, 3.5493, 7.9470 Å; angles 90.00, 97.87, 90.00 degrees
Element x y z (fractional)
Dy1 0.1312 0.0000 0.3460
Dy2 0.3688 0.5000 0.6540
Dy3 0.6312 0.5000 0.3460
Dy4 0.8688 0.0000 0.6540
Al1 0.1376 0.5000 0.9392
Al2 0.3624 0.0000 0.0608
Al3 0.6376 0.0000 0.9392
Al4 0.8624 0.5000 0.0608
N1 0.1752 0.0000 0.6370
N2 0.3248 0.5000 0.3630
N3 0.6752 0.5000 0.6370
N4 0.8248 0.0000 0.3630